! GGA+U NiCN2F, optimized geometry; values from VASP
&SYSTEM
  ibrav = 0, nat = 5, ntyp = 4
/
ATOMIC_SPECIES
Ni 58.69 Ni.upf
C 12.01 C.upf
N 14.01 N.upf
F 19.00 F.upf
CELL_PARAMETERS angstrom
2.9375 0.0000 0.0000
0.0000 2.9375 0.0000
0.0000 0.0000 6.1186
ATOMIC_POSITIONS crystal
Ni 0.0000 0.0000 0.0000
C 0.5000 0.5000 0.5000
N 0.0000 0.5000 0.5000
N 0.5000 0.0000 0.5000
F 0.5000 0.5000 0.0000
! energy above the most stable polymorph in this dataset	0	meV per atom
! DOS at the Fermi energy	0.67	states/eV/atom
! symmetry	No. 123
! V	10.6	Å³/atom